#a
VASP calculation (PBE) on crystalline LiAc2Hg6 at its relaxed geometry.

## Properties
The calculation puts the density at 11.32 g cm⁻³.

The structure in CIF format:
```
data_LiAc2Hg6
_chemical_formula_sum 'Li4 Ac8 Hg24'
_space_group_name_H-M_alt 'F m -3 m'
_space_group_IT_number 225
_space_group_name_Hall '-F 4 2 3'
_cell_length_a 9.9209
_cell_length_b 9.9209
_cell_length_c 9.9209
_cell_angle_alpha 90.00
_cell_angle_beta 90.00
_cell_angle_gamma 90.00
loop_
_atom_site_label
_atom_site_type_symbol
_atom_site_fract_x
_atom_site_fract_y
_atom_site_fract_z
Li1 Li 0.0000 0.0000 0.0000
Ac1 Ac 0.2500 0.2500 0.2500
Hg1 Hg 0.0000 0.0000 0.2724
```



#b
VASP calculation (PBE) on crystalline LiAc2Hg6 at its relaxed geometry.

## Properties
The calculation puts the density at 11.42 g cm⁻³.

The structure in CIF format:
```
data_LiAc2Hg6
_chemical_formula_sum 'Li2 Ac4 Hg12'
_space_group_name_H-M_alt 'C 1 2/m 1'
_space_group_IT_number 12
_cell_length_a 12.5379
_cell_length_b 6.8649
_cell_length_c 5.6413
_cell_angle_alpha 90.00
_cell_angle_beta 94.45
_cell_angle_gamma 90.00
loop_
_space_group_symop_operation_xyz
'x,y,z'
'-x,-y,-z'
'-x,y,-z'
'x,-y,z'
'x+1/2,y+1/2,z'
'-x+1/2,-y+1/2,-z'
'-x+1/2,y+1/2,-z'
'x+1/2,-y+1/2,z'
loop_
_atom_site_label
_atom_site_type_symbol
_atom_site_fract_x
_atom_site_fract_y
_atom_site_fract_z
Li1 Li 0.0000 0.0000 0.0000
Ac1 Ac 0.1584 0.5000 0.1973
Hg1 Hg 0.0917 0.2443 0.6956
Hg2 Hg 0.1883 0.0000 0.2738
```



Stability check: which of them is least stable? #a.



#a
VASP calculation (PBE) on crystalline LiAcHg3 at its relaxed geometry.

## Properties
The calculation puts the density at 10.72 g cm⁻³.

The structure in CIF format:
```
data_LiAcHg3
_chemical_formula_sum 'Li1 Ac1 Hg3'
_space_group_name_H-M_alt 'P m -3 m'
_space_group_IT_number 221
_space_group_name_Hall '-P 4 2 3'
_cell_length_a 5.0582
_cell_length_b 5.0582
_cell_length_c 5.0582
_cell_angle_alpha 90.00
_cell_angle_beta 90.00
_cell_angle_gamma 90.00
loop_
_atom_site_label
_atom_site_type_symbol
_atom_site_fract_x
_atom_site_fract_y
_atom_site_fract_z
Li1 Li 0.0000 0.0000 0.0000
Ac1 Ac 0.5000 0.5000 0.5000
Hg1 Hg 0.0000 0.0000 0.5000
```



#b
VASP calculation (PBE) on crystalline LiAcHg3 at its relaxed geometry.

## Properties
The calculation puts the density at 10.84 g cm⁻³.

The structure in CIF format:
```
data_LiAcHg3
_chemical_formula_sum 'Li4 Ac4 Hg12'
_space_group_name_H-M_alt 'P 63/m m c'
_space_group_IT_number 194
_space_group_name_Hall '-P 6c 2c'
_cell_length_a 7.0998
_cell_length_b 7.0998
_cell_length_c 11.7324
_cell_angle_alpha 90.00
_cell_angle_beta 90.00
_cell_angle_gamma 120.00
loop_
_atom_site_label
_atom_site_type_symbol
_atom_site_fract_x
_atom_site_fract_y
_atom_site_fract_z
Li1 Li 0.3333 0.6667 0.1363
Ac1 Ac 0.0000 0.0000 0.0000
Ac2 Ac 0.3333 0.6667 0.7500
Hg1 Hg 0.0000 0.5000 0.0000
Hg2 Hg 0.1455 0.2910 0.2500
```



#c
VASP calculation (PBE) on crystalline LiAcHg3 at its relaxed geometry.

## Properties
The calculation puts the density at 10.82 g cm⁻³.

The structure in CIF format:
```
data_LiAcHg3
_chemical_formula_sum 'Li4 Ac4 Hg12'
_space_group_name_H-M_alt 'P n m a'
_space_group_IT_number 62
_cell_length_a 9.6983
_cell_length_b 5.3786
_cell_length_c 9.8393
_cell_angle_alpha 90.00
_cell_angle_beta 90.00
_cell_angle_gamma 90.00
loop_
_space_group_symop_operation_xyz
'x,y,z'
'-x,-y,-z'
'-x+1/2,-y,z+1/2'
'x+1/2,y,-z+1/2'
'x+1/2,-y+1/2,-z+1/2'
'-x+1/2,y+1/2,z+1/2'
'-x,y+1/2,-z'
'x,-y+1/2,z'
loop_
_atom_site_label
_atom_site_type_symbol
_atom_site_fract_x
_atom_site_fract_y
_atom_site_fract_z
Li1 Li 0.0831 0.2500 0.1637
Ac1 Ac 0.2327 0.2500 0.5061
Hg1 Hg 0.0799 0.2500 0.8895
Hg2 Hg 0.1008 0.7500 0.3467
Hg3 Hg 0.1313 0.7500 0.6750
```



Stability check: which of them is least stable? #a.